No. 1
! Re3GePt, optimized geometry, DFT PBE; values from VASP
&SYSTEM
  ibrav = 0, nat = 5, ntyp = 3
/
ATOMIC_SPECIES
Re 186.21 Re.upf
Ge 72.64 Ge.upf
Pt 195.08 Pt.upf
CELL_PARAMETERS angstrom
4.779 0.000 0.000
0.000 4.779 0.000
0.000 0.000 4.779
ATOMIC_POSITIONS crystal
Re 0.000 0.500 0.000
Re 0.000 0.000 0.500
Re 0.500 0.000 0.000
Ge 0.500 0.500 0.500
Pt 0.000 0.000 0.000
! DOS(E_F) = 6.517 states/eV/f.u.
! density = 12.57 g cm⁻³
! space-group type = No. 221
! energy relative to the lowest polymorph listed for this composition = 0.654 eV/atom
! total energy = -7.1506 eV per atom
! energy relative to the elements = 12.25 eV/f.u.

---

No. 2
! Zr2NiPd2, optimized geometry, DFT PBE; values from VASP
&SYSTEM
  ibrav = 0, nat = 10, ntyp = 3
/
ATOMIC_SPECIES
Ni 58.69 Ni.upf
Zr 91.22 Zr.upf
Pd 106.42 Pd.upf
CELL_PARAMETERS angstrom
-2.746 5.932 3.026
-1.936 -3.843 5.777
3.101 0.676 1.489
ATOMIC_POSITIONS crystal
Ni 0.000 0.000 0.000
Ni 0.500 0.500 0.000
Zr 0.174 0.674 0.500
Zr 0.674 0.826 0.500
Zr 0.826 0.326 0.500
Zr 0.326 0.174 0.500
Pd 0.368 0.868 0.000
Pd 0.868 0.632 0.000
Pd 0.632 0.132 0.000
Pd 0.132 0.368 0.000
! DOS(E_F) = 4.960 states/eV/f.u.
! density = 8.29 g cm⁻³
! space-group type = No. 127
! total energy = -7.0609 eV per atom
! energy relative to the elements = -2.04 eV/f.u.

---

No. 3
! La12Nd7Sm, optimized geometry, DFT PBE; values from VASP
&SYSTEM
  ibrav = 0, nat = 20, ntyp = 3
/
ATOMIC_SPECIES
La 138.91 La.upf
Nd 144.24 Nd.upf
Sm 150.36 Sm.upf
CELL_PARAMETERS angstrom
8.742 1.125 1.689
-1.350 8.710 1.689
-1.350 -1.796 8.689
ATOMIC_POSITIONS crystal
La 0.856 0.258 0.720
La 0.742 0.280 0.144
La 0.608 0.143 0.486
La 0.857 0.514 0.392
La 0.280 0.144 0.742
La 0.514 0.392 0.857
La 0.486 0.608 0.143
La 0.720 0.856 0.258
La 0.143 0.486 0.608
La 0.392 0.857 0.514
La 0.258 0.720 0.856
La 0.144 0.742 0.280
Nd 0.859 0.616 0.930
Nd 0.384 0.070 0.141
Nd 0.070 0.141 0.384
Nd 0.500 0.500 0.500
Nd 0.930 0.859 0.616
Nd 0.616 0.930 0.859
Nd 0.141 0.384 0.070
Sm 0.000 0.000 0.000
! DOS(E_F) = 38.656 states/eV/f.u.
! density = 6.50 g cm⁻³
! space-group type = No. 148
! energy relative to the lowest polymorph listed for this composition = 0.000 eV/atom
! total energy = -4.6855 eV per atom
! energy relative to the elements = 3.51 eV/f.u.

---

No. 4
! ZrTi2Pb, optimized geometry, DFT PBE; values from VASP
&SYSTEM
  ibrav = 0, nat = 4, ntyp = 3
/
ATOMIC_SPECIES
Zr 91.22 Zr.upf
Ti 47.87 Ti.upf
Pb 207.20 Pb.upf
CELL_PARAMETERS angstrom
-1.744 -5.016 -1.558
2.688 -0.964 1.181
-2.131 -0.610 4.350
ATOMIC_POSITIONS crystal
Zr 0.750 0.250 0.500
Ti 0.970 0.992 0.000
Ti 0.530 0.508 0.000
Pb 0.250 0.750 0.500
! DOS(E_F) = 6.493 states/eV/f.u.
! density = 7.88 g cm⁻³
! space-group type = No. 10
! total energy = -6.9502 eV per atom
! energy relative to the elements = 0.25 eV/f.u.

---

No. 5
! Mg2InGe, optimized geometry, DFT PBE; values from VASP
&SYSTEM
  ibrav = 0, nat = 4, ntyp = 3
/
ATOMIC_SPECIES
Mg 24.30 Mg.upf
In 114.82 In.upf
Ge 72.64 Ge.upf
CELL_PARAMETERS angstrom
-2.858 1.029 -3.251
-4.381 -0.157 0.758
-2.325 5.687 0.800
ATOMIC_POSITIONS crystal
Mg 0.062 0.062 0.814
Mg 0.274 0.274 0.178
In 0.497 0.497 0.510
Ge 0.667 0.667 0.999
! DOS(E_F) = 1.738 states/eV/f.u.
! density = 4.06 g cm⁻³
! space-group type = No. 160
! total energy = -2.6913 eV per atom
! energy relative to the elements = -0.22 eV/f.u.

---

No. 6
! Sc2CrSnOs, optimized geometry, DFT PBE; values from VASP
&SYSTEM
  ibrav = 0, nat = 5, ntyp = 4
/
ATOMIC_SPECIES
Sc 44.96 Sc.upf
Cr 52.00 Cr.upf
Os 190.23 Os.upf
Sn 118.71 Sn.upf
CELL_PARAMETERS angstrom
5.220 0.000 0.000
0.000 4.804 0.000
0.000 0.000 5.220
ATOMIC_POSITIONS crystal
Sc 0.000 0.000 0.500
Sc 0.500 0.000 0.000
Cr 0.000 0.500 0.000
Os 0.500 0.500 0.500
Sn 0.000 0.000 0.000
! DOS(E_F) = 5.325 states/eV/f.u.
! density = 5.72 g cm⁻³
! space-group type = No. 123
! total energy = -6.1065 eV per atom
! energy relative to the elements = 6.99 eV/f.u.

---

No. 7
! La2YSc, optimized geometry, DFT PBE; values from VASP
&SYSTEM
  ibrav = 0, nat = 8, ntyp = 3
/
ATOMIC_SPECIES
Y 88.91 Y.upf
Sc 44.96 Sc.upf
La 138.91 La.upf
CELL_PARAMETERS angstrom
8.849 0.000 0.000
0.000 8.849 0.000
4.424 4.424 3.349
ATOMIC_POSITIONS crystal
Y 0.000 0.000 0.000
Y 0.750 0.250 0.500
Sc 0.500 0.500 0.000
Sc 0.250 0.750 0.500
La 0.611 0.125 0.250
La 0.139 0.625 0.250
La 0.375 0.389 0.750
La 0.875 0.861 0.750
! DOS(E_F) = 6.043 states/eV/f.u.
! density = 5.21 g cm⁻³
! space-group type = No. 122
! energy relative to the lowest polymorph listed for this composition = 0.362 eV/atom
! total energy = -5.2594 eV per atom
! energy relative to the elements = 1.61 eV/f.u.

---

No. 8
! AgHg2P, optimized geometry, DFT PBE; values from VASP
&SYSTEM
  ibrav = 0, nat = 4, ntyp = 3
/
ATOMIC_SPECIES
Ag 107.87 Ag.upf
Hg 200.59 Hg.upf
P 30.97 P.upf
CELL_PARAMETERS angstrom
-1.268 -3.035 4.265
-1.225 -5.049 -1.416
4.141 3.256 -1.123
ATOMIC_POSITIONS crystal
Ag 0.750 0.250 0.500
Hg 0.000 0.000 0.000
Hg 0.250 0.750 0.500
P 0.500 0.500 0.000
! DOS(E_F) = 1.905 states/eV/f.u.
! density = 11.06 g cm⁻³
! space-group type = No. 119
! total energy = -1.8343 eV per atom
! energy relative to the elements = 1.53 eV/f.u.

---

No. 9
! ScTcCl2, optimized geometry, DFT PBE; values from VASP
&SYSTEM
  ibrav = 0, nat = 4, ntyp = 3
/
ATOMIC_SPECIES
Sc 44.96 Sc.upf
Tc 98.00 Tc.upf
Cl 35.45 Cl.upf
CELL_PARAMETERS angstrom
3.442 0.000 0.000
0.000 3.441 0.000
0.000 0.000 7.083
ATOMIC_POSITIONS crystal
Sc 0.000 0.000 0.533
Tc 0.500 0.500 0.698
Cl 0.000 0.000 0.921
Cl 0.500 0.500 0.348
! DOS(E_F) = 3.148 states/eV/f.u.
! energy relative to the elements, uncorrected = -1.841 eV per formula unit
! density = 4.23 g cm⁻³
! space-group type = No. 99
! energy relative to the lowest polymorph listed for this composition = 0.245 eV/atom
! total energy = -5.5580 eV per atom

---

No. 10
! Fe3TeIr, optimized geometry, DFT PBE; values from VASP
&SYSTEM
  ibrav = 0, nat = 5, ntyp = 3
/
ATOMIC_SPECIES
Ir 192.22 Ir.upf
Te 127.60 Te.upf
Fe 55.84 Fe.upf
CELL_PARAMETERS angstrom
4.709 0.000 0.000
0.000 4.709 0.000
0.000 0.000 4.709
ATOMIC_POSITIONS crystal
Ir 0.000 0.000 0.000
Te 0.500 0.500 0.500
Fe 0.000 0.500 0.000
Fe 0.000 0.000 0.500
Fe 0.500 0.000 0.000
! DOS(E_F) = 6.999 states/eV/f.u.
! energy relative to the elements, uncorrected = 5.060 eV per formula unit
! density = 7.75 g cm⁻³
! space-group type = No. 221
! total energy = -6.4662 eV per atom

---

No. 11
! Sc2ZnICl, optimized geometry, DFT PBE; values from VASP
&SYSTEM
  ibrav = 0, nat = 5, ntyp = 4
/
ATOMIC_SPECIES
I 126.90 I.upf
Sc 44.96 Sc.upf
Zn 65.41 Zn.upf
Cl 35.45 Cl.upf
CELL_PARAMETERS angstrom
-2.928 4.325 0.427
-3.705 -2.251 -2.612
-2.042 -1.824 4.469
ATOMIC_POSITIONS crystal
I 0.500 0.500 0.500
Sc 0.000 0.000 0.500
Sc 0.500 0.000 0.000
Zn 0.000 0.000 0.000
Cl 0.000 0.500 0.000
! DOS(E_F) = 2.642 states/eV/f.u.
! energy relative to the elements, uncorrected = -0.319 eV per formula unit
! density = 3.80 g cm⁻³
! space-group type = No. 123
! total energy = -3.5306 eV per atom

---

No. 12
! Ca2CoNi, optimized geometry, DFT PBE; values from VASP
&SYSTEM
  ibrav = 0, nat = 4, ntyp = 3
/
ATOMIC_SPECIES
Ni 58.69 Ni.upf
Ca 40.08 Ca.upf
Co 58.93 Co.upf
CELL_PARAMETERS angstrom
4.868 0.001 0.018
-4.877 5.956 -0.083
-0.013 2.009 2.783
ATOMIC_POSITIONS crystal
Ni 0.500 0.000 0.500
Ca 0.000 0.000 0.000
Ca 0.000 0.500 0.500
Co 0.500 0.500 0.000
! DOS(E_F) = 7.821 states/eV/f.u.
! density = 4.04 g cm⁻³
! space-group type = No. 65
! energy relative to the lowest polymorph listed for this composition = 0.243 eV/atom
! total energy = -3.9474 eV per atom
! energy relative to the elements = 1.10 eV/f.u.